(1)
{
  "formula": "La2Cd4IrPd",
  "functional": "GGA-PBE",
  "state": "optimized geometry",
  "lattice_angstrom": [[8.601, 0.000, 0.000], [0.000, 2.133, 5.063], [0.000, -2.133, 5.063]],
  "species": ["La", "La", "Cd", "Cd", "Cd", "Cd", "Ir", "Pd"],
  "frac_coords": [[0.000, 0.000, 0.000], [0.500, 0.129, 0.129], [0.203, 0.708, 0.708], [0.297, 0.418, 0.418], [0.703, 0.418, 0.418], [0.797, 0.708, 0.708], [0.500, 0.842, 0.842], [0.000, 0.286, 0.286]],
  "e_form_ev_per_atom": -0.52,
  "magmom_total_mub_per_cell": 0.0,
  "e_tot_ev_per_atom": -3.96
}

(2)
{
  "formula": "Cu2SiHgTe2Se2",
  "functional": "GGA-PBE",
  "state": "optimized geometry",
  "lattice_angstrom": [[6.414, -3.005, 0.000], [6.414, 3.005, 0.000], [-2.703, 0.000, 5.354]],
  "species": ["Cu", "Cu", "Si", "Hg", "Te", "Te", "Se", "Se"],
  "frac_coords": [[0.250, 0.250, 0.227], [0.750, 0.750, 0.773], [0.473, 0.527, 0.000], [0.010, 0.990, 0.500], [0.582, 0.143, 0.638], [0.857, 0.418, 0.362], [0.137, 0.599, 0.092], [0.401, 0.863, 0.908]],
  "e_tot_ev_per_atom": -3.49,
  "de_polymorph_ev_per_atom": 0.000
}

(3)
{
  "formula": "Sc2TcAg3",
  "functional": "GGA-PBE",
  "state": "optimized geometry",
  "lattice_angstrom": [[3.472, 0.000, 0.000], [0.000, 3.472, 0.000], [0.000, 0.000, 8.961]],
  "species": ["Sc", "Sc", "Tc", "Ag", "Ag", "Ag"],
  "frac_coords": [[0.000, 0.000, 0.000], [0.500, 0.500, 0.475], [0.000, 0.000, 0.320], [0.000, 0.000, 0.659], [0.500, 0.500, 0.156], [0.500, 0.500, 0.824]],
  "e_form_ev_per_atom": -0.05,
  "magmom_total_mub_per_cell": 0.0,
  "e_tot_ev_per_atom": -5.30
}

Which formula does entry 2 have? Cu2SiHgTe2Se2

Please write out number 1 again, unchanged.
{
  "formula": "La2Cd4IrPd",
  "functional": "GGA-PBE",
  "state": "optimized geometry",
  "lattice_angstrom": [[8.601, 0.000, 0.000], [0.000, 2.133, 5.063], [0.000, -2.133, 5.063]],
  "species": ["La", "La", "Cd", "Cd", "Cd", "Cd", "Ir", "Pd"],
  "frac_coords": [[0.000, 0.000, 0.000], [0.500, 0.129, 0.129], [0.203, 0.708, 0.708], [0.297, 0.418, 0.418], [0.703, 0.418, 0.418], [0.797, 0.708, 0.708], [0.500, 0.842, 0.842], [0.000, 0.286, 0.286]],
  "e_form_ev_per_atom": -0.52,
  "magmom_total_mub_per_cell": 0.0,
  "e_tot_ev_per_atom": -3.96
}